Zr5Al2Cu | GGA-PBE | relaxed

Cell lengths 4.4631, 6.0108, 11.9350 Å; angles 90.00, 90.00, 90.00 degrees
Atoms (fractional coordinates):
Al  0.5000  0.6861  0.3661
Al  0.5000  0.3139  0.6339
Al  0.5000  0.8139  0.8661
Al  0.5000  0.1861  0.1339
Zr  0.0000  0.0720  0.7347
Zr  0.5000  0.3008  0.8856
Zr  0.0000  0.5720  0.7653
Zr  0.5000  0.8008  0.6143
Zr  0.0000  0.9280  0.2653
Zr  0.5000  0.6992  0.1144
Zr  0.0000  0.5000  0.5000
Zr  0.5000  0.1992  0.3856
Zr  0.0000  0.0000  0.0000
Zr  0.0000  0.4280  0.2347
Cu  0.0000  0.5000  0.0000
Cu  0.0000  0.0000  0.5000

Summary:
- DFT formation energy: -0.256 eV per atom
- Volume: 320.2 Å³/cell
- Energy above the lowest structure with this stoichiometry: 0 meV per atom
- M_tot: 0.00 μB per formula unit